Density functional theory data (PBE) for a relaxed Pr7Sm6Y16 crystal.

It has space group Fm-3m (No. 225), with a = 15.8538 Å, b = 15.8538 Å, c = 15.8538 Å, α = 90.00°, β = 90.00° and γ = 90.00°. The asymmetric unit holds Pr at (0.0000, 0.0000, 0.0000), Pr at (0.0000, 0.2500, 0.2500), Sm at (0.0000, 0.0000, 0.2241), Y at (0.1131, 0.1131, 0.3869) and Y at (0.1502, 0.1502, 0.1502).

The calculation puts the total energy at -5.510 eV/atom. The density of states at the Fermi level is 210.85 states/eV per cell. The calculated volume is 34.351 Å³/atom. Its mass density is 5.519 Mg/m³. The calculation puts the energy of formation from the pure elements at 0.19 eV per atom.